VASP calculation (PBE) on an optimized crystal structure of Li4TaAl.

Geometry as POSCAR:
```
Li4TaAl
1.0
-3.5751 -0.0624 3.5759
-4.5291 -2.0207 -0.9877
-1.3427 -4.3723 2.1569
Ta Li Al
1 4 1
Direct
0.7500 0.7500 0.7500
0.3747 0.8760 0.3747
0.3747 0.3747 0.3747
0.3747 0.3747 0.8760
0.8760 0.3747 0.3747
0.0000 0.0000 0.0000
```

Results
- Density: 4280 kg/m3
- SG: No. 216
- Energy of formation: 2.18 eV per formula unit


VASP calculation (PBE) on an optimized crystal structure of GaMoSe2Br.

Geometry as POSCAR:
```
GaMoSe2Br
1.0
4.9029 0.0000 0.0000
0.0000 4.9029 0.0000
0.0000 0.0000 5.5014
Ga Mo Br Se
1 1 1 2
Direct
0.5000 0.5000 0.5000
0.0000 0.0000 0.0000
0.0000 0.0000 0.5000
0.0000 0.5000 0.0000
0.5000 0.0000 0.0000
```

Results
- Density: 5066 kg/m3
- ΔE to the lowest computed polymorph: 0.0 meV/atom
- SG: No. 123


VASP calculation (PBE) on an optimized crystal structure of Sr2HoMg12Hg3.

Geometry as POSCAR:
```
Sr2HoMg12Hg3
1.0
9.5488 0.4063 0.2882
5.0690 8.1025 0.2882
5.0690 2.9506 7.5516
Mg Ho Sr Hg
12 1 2 3
Direct
0.7774 0.7774 0.1349
0.1712 0.1712 0.5482
0.8651 0.2226 0.2226
0.8288 0.4518 0.8288
0.1349 0.7774 0.7774
0.8288 0.8288 0.4518
0.2226 0.2226 0.8651
0.2226 0.8651 0.2226
0.5482 0.1712 0.1712
0.7774 0.1349 0.7774
0.4518 0.8288 0.8288
0.1712 0.5482 0.1712
0.0000 0.0000 0.0000
0.4171 0.4171 0.4171
0.5829 0.5829 0.5829
0.0000 0.0000 0.5000
0.5000 0.0000 0.0000
0.0000 0.5000 0.0000
```

Results
- Density: 3700 kg/m3
- SG: No. 166
- Energy of formation: 2.14 eV per formula unit


VASP calculation (PBE) on an optimized crystal structure of Dy3Tm8.

Geometry as POSCAR:
```
Dy3Tm8
1.0
0.0976 -0.1143 3.4965
-0.7004 -2.9930 1.6732
30.1188 -8.7452 0.6248
Dy Tm
3 8
Direct
0.2724 0.2724 0.1827
0.0000 0.0000 0.0000
0.7276 0.7276 0.8173
0.1817 0.1817 0.4548
0.0914 0.0914 0.7258
0.4548 0.4548 0.6355
0.3638 0.3638 0.9087
0.6362 0.6362 0.0913
0.8183 0.8183 0.5452
0.9086 0.9086 0.2742
0.5452 0.5452 0.3645
```

Results
- Density: 9196 kg/m3
- ΔE to the lowest computed polymorph: 0.0 meV/atom
- SG: No. 166
- Energy of formation: 0.29 eV per formula unit


VASP calculation (PBE) on an optimized crystal structure of Ac4PdPb.

Geometry as POSCAR:
```
Ac4PdPb
1.0
5.4182 0.0001 0.0010
-0.0001 5.4221 0.0029
0.0077 0.0136 8.0924
Ac Pb Pd
4 1 1
Direct
0.0017 0.4978 0.7276
0.0009 0.4967 0.2686
0.5016 0.9980 0.7277
0.5010 0.9966 0.2685
0.5013 0.4973 0.9981
0.0013 0.9972 0.4983
```

Results
- Density: 8533 kg/m3
- SG: No. 12
- Energy of formation: -1.69 eV per formula unit


VASP calculation (PBE) on an optimized crystal structure of Ce2Si3GeRh4.

Geometry as POSCAR:
```
Ce2Si3GeRh4
1.0
4.1750 0.0000 0.0000
0.0000 4.1750 0.0000
0.0000 0.0000 9.9403
Si Ce Rh Ge
3 2 4 1
Direct
0.5000 0.0000 0.8729
0.0000 0.0000 0.5000
0.0000 0.5000 0.1271
0.0000 0.5000 0.7442
0.5000 0.0000 0.2558
0.0000 0.0000 0.0000
0.5000 0.5000 0.0000
0.0000 0.5000 0.3677
0.5000 0.0000 0.6323
0.5000 0.5000 0.5000
```

Results
- E: -7.21 eV per atom
- Density: 8134 kg/m3
- SG: No. 115


VASP calculation (PBE) on an optimized crystal structure of Mg6Hg3Bi.

Geometry as POSCAR:
```
Mg6Hg3Bi
1.0
4.5611 0.0000 0.0000
0.0000 9.3990 -3.5761
0.0000 -0.1182 11.4704
Bi Mg Hg
2 12 6
Direct
0.7500 0.3791 0.2956
0.2500 0.6209 0.7044
0.7500 0.8801 0.3986
0.7500 0.4085 0.0327
0.2500 0.1199 0.6014
0.2500 0.3505 0.4703
0.7500 0.0493 0.2163
0.2500 0.2134 0.1030
0.7500 0.7866 0.8970
0.2500 0.5915 0.9673
0.7500 0.3904 0.7407
0.7500 0.6495 0.5297
0.2500 0.6096 0.2593
0.2500 0.9507 0.7837
0.7500 0.7154 0.1357
0.2500 0.9105 0.0748
0.2500 0.2846 0.8643
0.7500 0.1829 0.4848
0.7500 0.0895 0.9252
0.2500 0.8171 0.5152
```

Results
- Density: 6486 kg/m3
- SG: No. 11
- Energy of formation: -1.46 eV per formula unit


VASP calculation (PBE) on an optimized crystal structure of CdIn2Au.

Geometry as POSCAR:
```
CdIn2Au
1.0
4.0940 0.0000 0.0000
2.0470 3.5455 0.0000
2.0470 1.1818 7.2012
In Au Cd
2 1 1
Direct
0.0737 0.0737 0.7789
0.2607 0.2607 0.2178
0.6663 0.6663 0.0010
0.4992 0.4992 0.5023
```

Results
- Density: 8563 kg/m3
- SG: No. 160
- Energy of formation: -0.13 eV per formula unit


VASP calculation (PBE) on an optimized crystal structure of Na4Ag5Se6.

Geometry as POSCAR:
```
Na4Ag5Se6
1.0
4.4350 0.0000 0.0000
-2.2175 9.9222 0.0000
0.0000 0.0000 15.9697
Na Se Ag
8 12 10
Direct
0.8246 0.6493 0.7996
0.1754 0.3507 0.2996
0.0286 0.0572 0.7679
0.1777 0.3554 0.9460
0.0009 0.0019 0.5113
0.9714 0.9428 0.2679
0.8223 0.6446 0.4460
0.9991 0.9981 0.0113
0.7765 0.5530 0.2709
0.4399 0.8799 0.8531
0.8768 0.7536 0.6195
0.5609 0.1218 0.6267
0.4391 0.8782 0.1267
0.5601 0.1201 0.3531
0.2225 0.4451 0.4823
0.5587 0.1173 0.8973
0.1232 0.2464 0.1195
0.4413 0.8827 0.3973
0.7775 0.5549 0.9823
0.2235 0.4470 0.7709
0.6476 0.2952 0.4851
0.3518 0.7037 0.2644
0.2948 0.5896 0.6246
0.1451 0.2902 0.6255
0.6482 0.2963 0.7644
0.7052 0.4104 0.1246
0.5665 0.1331 0.1812
0.3524 0.7048 0.9851
0.8549 0.7098 0.1255
0.4335 0.8669 0.6812
```

Results
- E: -3.18 eV per atom
- Density: 5222 kg/m3
- SG: No. 36


VASP calculation (PBE) on an optimized crystal structure of KPtO3.

Geometry as POSCAR:
```
KPtO3
1.0
4.3666 0.0000 0.0000
0.0000 4.3666 0.0000
0.0000 0.0000 4.3666
O Pt K
3 1 1
Direct
0.0000 0.5000 0.0000
0.5000 0.0000 0.0000
0.0000 0.0000 0.5000
0.5000 0.5000 0.5000
0.0000 0.0000 0.0000
```

Results
- E: -2.84 eV per atom
- Density: 5628 kg/m3
- SG: No. 221


VASP calculation (PBE) on an optimized crystal structure of Tc2Te2Au.

Geometry as POSCAR:
```
Tc2Te2Au
1.0
7.5642 0.0000 0.0000
0.0000 7.5642 0.0000
0.0000 0.0000 3.3195
Tc Te Au
4 4 2
Direct
0.3584 0.8584 0.0000
0.8584 0.6416 0.0000
0.6416 0.1416 0.0000
0.1416 0.3584 0.0000
0.8476 0.3476 0.5000
0.3476 0.1524 0.5000
0.6524 0.8476 0.5000
0.1524 0.6524 0.5000
0.5000 0.5000 0.0000
0.0000 0.0000 0.0000
```

Results
- Density: 11334 kg/m3
- ΔE to the lowest computed polymorph: 0.0 meV/atom
- SG: No. 127


VASP calculation (PBE) on an optimized crystal structure of Ga6HgPb2.

Geometry as POSCAR:
```
Ga6HgPb2
1.0
-4.5200 2.0880 -3.0107
0.7982 -6.5667 -0.1301
-3.6141 -0.9883 4.7405
Ga Pb Hg
6 2 1
Direct
0.2192 0.4385 0.3503
0.8214 0.1648 0.6345
0.7808 0.5615 0.6497
0.1786 0.8352 0.3655
0.6567 0.8352 0.3655
0.3433 0.1648 0.6345
0.3275 0.6551 0.8609
0.6725 0.3449 0.1391
0.0000 0.0000 0.0000
```

Results
- Density: 8242 kg/m3
- SG: No. 12
- Energy of formation: 0.47 eV per formula unit


VASP calculation (PBE) on an optimized crystal structure of Nd2Ga3IrPt4.

Geometry as POSCAR:
```
Nd2Ga3IrPt4
1.0
-1.5704 1.9830 -3.2841
-2.5700 -3.1784 -0.6903
-7.6895 4.7906 6.5695
Pt Ga Ir Nd
4 3 1 2
Direct
0.0000 0.0000 0.0000
0.5000 0.5000 0.0000
0.0000 0.5000 0.3519
0.5000 0.0000 0.6481
0.5000 0.0000 0.8685
0.0000 0.5000 0.1315
0.0000 0.0000 0.5000
0.5000 0.5000 0.5000
0.5000 0.0000 0.2575
0.0000 0.5000 0.7425
```

Results
- Density: 12695 kg/m3
- SG: No. 115
- Energy of formation: -8.19 eV per formula unit


VASP calculation (PBE) on an optimized crystal structure of Ba2BPt.

Geometry as POSCAR:
```
Ba2BPt
1.0
8.1493 0.0000 0.0000
0.0000 8.1493 0.0000
4.0746 4.0746 3.9492
Pt Ba B
2 4 2
Direct
0.0000 0.0000 0.0000
0.7500 0.2500 0.5000
0.8750 0.8655 0.7500
0.6155 0.1250 0.2500
0.1345 0.6250 0.2500
0.3750 0.3845 0.7500
0.5000 0.5000 0.0000
0.2500 0.7500 0.5000
```

Results
- Density: 6085 kg/m3
- SG: No. 122
- Energy of formation: 1.97 eV per formula unit


VASP calculation (PBE) on an optimized crystal structure of Tb4MgTl3.

Geometry as POSCAR:
```
Tb4MgTl3
1.0
-3.3023 1.5875 1.0177
-1.2313 -4.0837 2.3746
5.2205 4.3397 10.1702
Tb Mg Tl
4 1 3
Direct
0.5000 0.5000 0.3424
0.5000 0.0000 0.6554
0.0000 0.0000 0.1601
0.0000 0.5000 0.8443
0.5000 0.5000 0.0705
0.0000 0.5000 0.5862
0.5000 0.0000 0.9233
0.0000 0.0000 0.4178
```

Results
- Density: 9314 kg/m3
- ΔE to the lowest computed polymorph: 53.7 meV/atom
- SG: No. 25
- Energy of formation: -1.94 eV per formula unit


VASP calculation (PBE) on an optimized crystal structure of YZr2PbC.

Geometry as POSCAR:
```
YZr2PbC
1.0
4.6046 0.0000 0.0000
0.0000 4.6046 0.0000
0.0000 0.0000 4.9336
Pb Y Zr C
1 1 2 1
Direct
0.5000 0.5000 0.5000
0.0000 0.0000 0.5000
0.0000 0.5000 0.0000
0.5000 0.0000 0.0000
0.0000 0.0000 0.0000
```

Results
- Density: 7788 kg/m3
- SG: No. 123
- Energy of formation: -2.17 eV per formula unit


VASP calculation (PBE) on an optimized crystal structure of KPaTe3Pt.

Geometry as POSCAR:
```
KPaTe3Pt
1.0
-0.0437 4.1944 -0.7664
-8.0306 -1.8859 1.9992
2.1652 1.9476 10.5348
Pa Te K Pt
2 6 2 2
Direct
0.0000 0.0000 0.5000
0.0000 0.0000 0.0000
0.3717 0.7435 0.9406
0.9229 0.8457 0.2500
0.3717 0.7435 0.5594
0.6283 0.2565 0.4406
0.0771 0.1543 0.7500
0.6283 0.2565 0.0594
0.2448 0.4896 0.2500
0.7552 0.5104 0.7500
0.4766 0.9531 0.7500
0.5234 0.0469 0.2500
```

Results
- E: -5.23 eV per atom
- Density: 7355 kg/m3
- SG: No. 63


VASP calculation (PBE) on an optimized crystal structure of Pm5YSc3.

Geometry as POSCAR:
```
Pm5YSc3
1.0
7.7631 -1.2716 1.6794
0.9022 7.8147 1.6794
4.0567 3.0632 11.8011
Pm Y Sc
10 2 6
Direct
0.5695 0.0547 0.6522
0.9453 0.4305 0.3478
0.0547 0.5695 0.6522
0.7455 0.2545 0.0000
0.3340 0.3340 0.9148
0.6576 0.6576 0.5810
0.6660 0.6660 0.0852
0.4305 0.9453 0.3478
0.2545 0.7455 0.0000
0.3424 0.3424 0.4190
0.0004 0.0004 0.7467
0.9996 0.9996 0.2533
0.0000 0.0000 0.5000
0.0000 0.0000 0.0000
0.3363 0.3363 0.1661
0.6637 0.6637 0.8339
0.6712 0.6712 0.3272
0.3288 0.3288 0.6728
```

Results
- Density: 4984 kg/m3
- SG: No. 12
- Energy of formation: 4.32 eV per formula unit


VASP calculation (PBE) on an optimized crystal structure of CaGa2Cu6.

Geometry as POSCAR:
```
CaGa2Cu6
1.0
-0.4450 1.0962 3.9232
-2.4849 -3.2002 0.6123
6.4548 -4.6247 2.0245
Ca Cu Ga
1 6 2
Direct
0.0000 0.0000 0.0000
0.5000 0.0000 0.6783
0.0000 0.0000 0.5000
0.0000 0.5000 0.6783
0.5000 0.5000 0.5000
0.5000 0.0000 0.3217
0.0000 0.5000 0.3217
0.5000 0.5000 0.8433
0.5000 0.5000 0.1567
```

Results
- Density: 6768 kg/m3
- ΔE to the lowest computed polymorph: 0.0 meV/atom
- SG: No. 123
- Energy of formation: -1.30 eV per formula unit


VASP calculation (PBE) on an optimized crystal structure of PaMnAlCo.

Geometry as POSCAR:
```
PaMnAlCo
1.0
4.4399 0.0000 0.0000
2.2200 3.8451 0.0000
2.2200 1.2817 3.6252
Al Pa Co Mn
1 1 1 1
Direct
0.2500 0.2500 0.2500
0.7500 0.7500 0.7500
0.5000 0.5000 0.5000
0.0000 0.0000 0.0000
```

Results
- Density: 9978 kg/m3
- SG: No. 216
- Energy of formation: -0.90 eV per formula unit


VASP calculation (PBE) on an optimized crystal structure of Ac4SiOsI2.

Geometry as POSCAR:
```
Ac4SiOsI2
1.0
-3.8266 1.0227 -2.0536
0.0171 -7.0867 -3.5612
-4.3402 -1.0520 7.5635
Ac I Os Si
4 2 1 1
Direct
0.0000 0.7172 0.1883
0.5000 0.7480 0.8137
0.5000 0.2520 0.1863
0.0000 0.2828 0.8117
0.0000 0.5000 0.5000
0.5000 0.0000 0.5000
0.5000 0.5000 0.0000
0.0000 0.0000 0.0000
```

Results
- E: -5.28 eV per atom
- Density: 7682 kg/m3
- SG: No. 10


VASP calculation (PBE) on an optimized crystal structure of NaMn2WN.

Geometry as POSCAR:
```
NaMn2WN
1.0
4.1958 0.0000 0.0000
0.0000 4.0284 0.0000
0.0000 0.0000 4.1958
N Mn W Na
1 2 1 1
Direct
0.0000 0.0000 0.0000
0.5000 0.0000 0.0000
0.0000 0.0000 0.5000
0.0000 0.5000 0.0000
0.5000 0.5000 0.5000
```

Results
- Density: 7743 kg/m3
- ΔE to the lowest computed polymorph: 0.0 meV/atom
- SG: No. 123